A plane-wave DFT calculation with PBE-GGA was carried out for a relaxed structure of Ca6Bi2PS.

Summary:
ΔE_f (raw): -1116 meV/atom
calculated total energy: -4.05 eV per atom
M_tot: 1.0 μB/f.u.

a b c (Å): 7.281 8.042 12.836
angles (deg): 90.00 124.46 90.00
Space group P2_1/c (No. 14)
Unique sites:
Ca  0.134  0.190  0.447 (multiplicity 4)
Ca  0.265  0.697  0.448 (multiplicity 4)
Ca  0.358  0.037  0.251 (multiplicity 4)
Bi  0.218  0.083  0.752 (multiplicity 4)
P  0.500  0.000  0.500 (multiplicity 2)
S  0.000  0.000  0.000 (multiplicity 2)